# 1
The following is a PBE calculation of crystalline Sr2DyAuO4 at its relaxed geometry, from Alexandria.

Summary:
The raw formation energy comes out at -2.211 eV per atom. The calculation puts the magnetic moment at 0.00 μB/f.u. The value obtained for the mass density is 6.18 Mg/m³.

a = 5.434 Å, b = 5.434 Å, c = 10.896 Å
α = 90.00°, β = 90.00°, γ = 90.00°
Space group I-4 (No. 82)
Inequivalent atoms, fractional coordinates:
Sr: 0.000 0.000 0.000 x2
Sr: 0.000 0.500 0.250 x2
Dy: 0.000 0.000 0.500 x2
Au: 0.000 0.500 0.750 x2
O: 0.226 0.765 0.387 x8

=====

# 2
The following is a PBE calculation of crystalline Dy4TlAuO at its relaxed geometry, from Alexandria.

Summary:
The raw formation energy comes out at -1.170 eV per atom. The calculation puts the magnetic moment at 0.00 μB/f.u. As for the density of states at the Fermi level: 11.49 states/eV per cell. The value obtained for the mass density is 10.48 Mg/m³.

a = 6.633 Å, b = 15.345 Å, c = 6.646 Å
α = 90.00°, β = 90.00°, γ = 90.00°
Space group Cmcm (No. 63)
Inequivalent atoms, fractional coordinates:
Dy: 0.000 0.062 0.250 x4
Dy: 0.000 0.419 0.250 x4
Dy: 0.250 0.250 0.000 x8
Tl: 0.000 0.385 0.750 x4
Au: 0.000 0.122 0.750 x4
O: 0.000 0.258 0.250 x4

=====

# 3
The following is a PBE calculation of crystalline DyTmAu2O8 at its relaxed geometry, from Alexandria.

Summary:
The raw formation energy comes out at -1.128 eV per atom. The calculation puts the magnetic moment at 0.00 μB/f.u. As for the density of states at the Fermi level: 13.87 states/eV per cell. The value obtained for the mass density is 9.64 Mg/m³.

a = 5.284 Å, b = 5.284 Å, c = 10.527 Å
α = 90.00°, β = 90.00°, γ = 90.00°
Space group I-4m2 (No. 119)
Inequivalent atoms, fractional coordinates:
Dy: 0.000 0.000 0.000 x2
Tm: 0.000 0.500 0.750 x2
Au: 0.000 0.000 0.500 x2
Au: 0.000 0.500 0.250 x2
O: 0.235 0.247 0.374 x16

=====

# 4
The following is a PBE calculation of crystalline Dy5Os2Au2 at its relaxed geometry, from Alexandria.

Summary:
As for the formation energy: -515.4 meV/atom. The calculation puts the magnetic moment at 0.00 μB/f.u. As for the density of states at the Fermi level: 24.64 states/eV per cell. The value obtained for the mass density is 12.17 Mg/m³.

a = 15.499 Å, b = 7.440 Å, c = 7.510 Å
α = 90.00°, β = 90.00°, γ = 90.00°
Space group Cmce (No. 64)
Inequivalent atoms, fractional coordinates:
Dy: 0.000 0.000 0.000 x4
Dy: 0.129 0.179 0.322 x16
Os: 0.000 0.118 0.618 x8
Au: 0.213 0.000 0.000 x8

=====

# 5
The following is a PBE calculation of crystalline Dy4OsAu at its relaxed geometry, from Alexandria.

Summary:
As for the formation energy: -369.8 meV/atom. The calculation puts the magnetic moment at 0.00 μB/f.u. Its energy above the most stable polymorph in this dataset is 48.7 kJ/mol of formula units. As for the density of states at the Fermi level: 5.28 states/eV per cell. The value obtained for the mass density is 10.48 Mg/m³.

a = 4.860 Å, b = 4.860 Å, c = 6.958 Å
α = 90.00°, β = 90.00°, γ = 90.00°
Space group P4/mmm (No. 123)
Inequivalent atoms, fractional coordinates:
Dy: 0.000 0.500 0.237 x4
Os: 0.000 0.000 0.000 x1
Au: 0.500 0.500 0.500 x1

=====

# 6
The following is a PBE calculation of crystalline Dy5Os2Au at its relaxed geometry, from Alexandria.

Summary:
As for the formation energy: -429.1 meV/atom. The calculation puts the magnetic moment at 0.00 μB/f.u. As for the density of states at the Fermi level: 23.11 states/eV per cell. The value obtained for the mass density is 11.80 Mg/m³.

a = 7.706 Å, b = 7.706 Å, c = 13.179 Å
α = 90.00°, β = 90.00°, γ = 90.00°
Space group I4/mcm (No. 140)
Inequivalent atoms, fractional coordinates:
Dy: 0.000 0.000 0.000 x4
Dy: 0.160 0.340 0.135 x16
Os: 0.140 0.360 0.500 x8
Au: 0.000 0.000 0.250 x4

=====

# 7
The following is a PBE calculation of crystalline Dy8Os2Au at its relaxed geometry, from Alexandria.

Summary:
As for the formation energy: -252.3 meV/atom. The calculation puts the magnetic moment at 0.00 μB/f.u. As for the density of states at the Fermi level: 19.74 states/eV per cell. The value obtained for the mass density is 10.43 Mg/m³.

a = 8.635 Å, b = 12.660 Å, c = 5.682 Å
α = 90.00°, β = 105.83°, γ = 90.00°
Space group Cm (No. 8)
Inequivalent atoms, fractional coordinates:
Dy: 0.000 0.000 0.000 x2
Dy: 0.079 0.367 0.791 x4
Dy: 0.176 0.132 0.603 x4
Dy: 0.248 0.500 0.395 x2
Dy: 0.376 0.233 0.199 x4
Os: 0.377 0.312 0.697 x4
Au: 0.373 0.000 0.300 x2

=====

# 8
The following is a PBE calculation of crystalline Dy6Os2Au at its relaxed geometry, from Alexandria.

Summary:
As for the formation energy: -360.0 meV/atom. The calculation puts the magnetic moment at 0.00 μB/f.u. As for the density of states at the Fermi level: 33.74 states/eV per cell. The value obtained for the mass density is 11.33 Mg/m³.

a = 9.359 Å, b = 9.416 Å, c = 10.331 Å
α = 90.00°, β = 90.00°, γ = 90.00°
Space group Immm (No. 71)
Inequivalent atoms, fractional coordinates:
Dy: 0.000 0.186 0.168 x8
Dy: 0.182 0.224 0.500 x8
Dy: 0.198 0.500 0.254 x8
Os: 0.000 0.000 0.379 x4
Os: 0.174 0.000 0.000 x4
Au: 0.000 0.500 0.000 x2
Au: 0.000 0.500 0.500 x2

=====

# 9
The following is a PBE calculation of crystalline Dy4OsAu at its relaxed geometry, from Alexandria.

Summary:
As for the formation energy: -453.9 meV/atom. The calculation puts the magnetic moment at 0.00 μB/f.u. Its energy above the most stable polymorph in this dataset is 0.0 kJ/mol of formula units. As for the density of states at the Fermi level: 26.03 states/eV per cell. The value obtained for the mass density is 10.82 Mg/m³.

a = 9.003 Å, b = 13.094 Å, c = 6.265 Å
α = 90.00°, β = 120.47°, γ = 90.00°
Space group C2/c (No. 15)
Inequivalent atoms, fractional coordinates:
Dy: 0.117 0.173 0.087 x8
Dy: 0.211 0.433 0.297 x8
Os: 0.000 0.002 0.750 x4
Au: 0.000 0.368 0.750 x4

=====

# 10
The following is a PBE calculation of crystalline Dy5OsAu4 at its relaxed geometry, from Alexandria.

Summary:
As for the formation energy: -726.5 meV/atom. The calculation puts the magnetic moment at 0.00 μB/f.u. As for the density of states at the Fermi level: 5.23 states/eV per cell. The value obtained for the mass density is 13.19 Mg/m³.

a = 3.524 Å, b = 3.524 Å, c = 18.146 Å
α = 90.00°, β = 90.00°, γ = 90.00°
Space group P4/mmm (No. 123)
Inequivalent atoms, fractional coordinates:
Dy: 0.000 0.000 0.000 x1
Dy: 0.000 0.000 0.204 x2
Dy: 0.000 0.000 0.409 x2
Os: 0.500 0.500 0.500 x1
Au: 0.500 0.500 0.101 x2
Au: 0.500 0.500 0.303 x2

=====

# 11
The following is a PBE calculation of crystalline DyPaOsAu at its relaxed geometry, from Alexandria.

Summary:
As for the formation energy: -302.7 meV/atom. The calculation puts the magnetic moment at 0.00 μB/f.u. As for the density of states at the Fermi level: 22.00 states/eV per cell. The value obtained for the mass density is 14.92 Mg/m³.

a = 7.030 Å, b = 7.030 Å, c = 7.030 Å
α = 90.00°, β = 90.00°, γ = 90.00°
Space group F-43m (No. 216)
Inequivalent atoms, fractional coordinates:
Dy: 0.000 0.000 0.000 x4
Pa: 0.000 0.000 0.500 x4
Os: 0.250 0.250 0.250 x4
Au: 0.250 0.250 0.750 x4

=====

# 12
The following is a PBE calculation of crystalline PmDyOsAu at its relaxed geometry, from Alexandria.

Summary:
As for the formation energy: -397.0 meV/atom. The calculation puts the magnetic moment at 0.00 μB/f.u. As for the density of states at the Fermi level: 11.58 states/eV per cell. The value obtained for the mass density is 12.97 Mg/m³.

a = 7.085 Å, b = 7.085 Å, c = 7.085 Å
α = 90.00°, β = 90.00°, γ = 90.00°
Space group F-43m (No. 216)
Inequivalent atoms, fractional coordinates:
Pm: 0.000 0.000 0.000 x4
Dy: 0.000 0.000 0.500 x4
Os: 0.250 0.250 0.250 x4
Au: 0.250 0.250 0.750 x4

=====

Quick rundown of total DFT energy (no corrections), same order as above: -6.095; -5.314; -5.736; -6.296; -5.856; -6.522; -5.939; -6.288; -5.940; -5.462; -7.454; -6.362 eV/atom